Record 1
DFT (PBE-GGA) results for a relaxed structure of PrGe6P8. Values from VASP.

```
&SYSTEM
  ibrav = 0, nat = 15, ntyp = 3
/
ATOMIC_SPECIES
Pr 140.91 Pr.upf
Ge 72.64 Ge.upf
P 30.97 P.upf
CELL_PARAMETERS angstrom
6.836 -0.253 -0.261
-0.466 6.824 -0.261
-0.466 -0.481 6.812
ATOMIC_POSITIONS crystal
Pr 0.000 0.000 0.000
Ge 0.659 0.387 0.844
Ge 0.387 0.844 0.659
Ge 0.844 0.659 0.387
Ge 0.341 0.613 0.156
Ge 0.613 0.156 0.341
Ge 0.156 0.341 0.613
P 0.708 0.708 0.708
P 0.292 0.292 0.292
P 0.646 0.834 0.174
P 0.834 0.174 0.646
P 0.174 0.646 0.834
P 0.354 0.166 0.826
P 0.166 0.826 0.354
P 0.826 0.354 0.166
```

Computed properties:
ΔH_f (0 K) in eV per atom: -0.029

***

Record 2
DFT (PBE-GGA) results for a relaxed structure of PrGeP2. Values from VASP.

```
&SYSTEM
  ibrav = 0, nat = 4, ntyp = 3
/
ATOMIC_SPECIES
Pr 140.91 Pr.upf
P 30.97 P.upf
Ge 72.64 Ge.upf
CELL_PARAMETERS angstrom
-2.030 2.277 -3.264
-3.653 -1.673 -1.953
-6.028 3.522 3.149
ATOMIC_POSITIONS crystal
Pr 0.500 0.500 0.500
P 0.101 0.101 0.696
P 0.899 0.899 0.304
Ge 0.000 0.000 0.000
```

Computed properties:
ΔH_f (0 K) in eV per atom: -0.163
Offset from the most stable computed form in eV per atom: 0.352

***

Record 3
DFT (PBE-GGA) results for a relaxed structure of PrGeP2. Values from VASP.

```
&SYSTEM
  ibrav = 0, nat = 4, ntyp = 3
/
ATOMIC_SPECIES
Pr 140.91 Pr.upf
Ge 72.64 Ge.upf
P 30.97 P.upf
CELL_PARAMETERS angstrom
-0.436 3.335 1.599
-3.556 0.068 -1.105
0.326 -4.584 5.163
ATOMIC_POSITIONS crystal
Pr 0.221 0.881 0.228
Ge 0.474 0.628 0.728
P 0.845 0.508 0.475
P 0.595 0.257 0.981
```

Computed properties:
ΔH_f (0 K) in eV per atom: -0.515
Offset from the most stable computed form in eV per atom: 0.000

***

Record 4
DFT (PBE-GGA) results for a relaxed structure of Pr4GeP2. Values from VASP.

```
&SYSTEM
  ibrav = 0, nat = 14, ntyp = 3
/
ATOMIC_SPECIES
Pr 140.91 Pr.upf
Ge 72.64 Ge.upf
P 30.97 P.upf
CELL_PARAMETERS angstrom
-4.023 -0.897 0.917
4.057 -3.246 4.899
-0.685 11.356 8.092
ATOMIC_POSITIONS crystal
Pr 0.773 0.546 0.121
Pr 0.773 0.546 0.379
Pr 0.227 0.454 0.879
Pr 0.227 0.454 0.621
Pr 0.952 0.903 0.750
Pr 0.048 0.097 0.250
Pr 0.500 0.000 0.000
Pr 0.500 0.000 0.500
Ge 0.607 0.214 0.750
Ge 0.393 0.786 0.250
P 0.137 0.275 0.438
P 0.863 0.725 0.938
P 0.137 0.275 0.062
P 0.863 0.725 0.562
```

Computed properties:
ΔH_f (0 K) in eV per atom: -1.121

***

Record 5
DFT (PBE-GGA) results for a relaxed structure of Pr4GeP3. Values from VASP.

```
&SYSTEM
  ibrav = 0, nat = 8, ntyp = 3
/
ATOMIC_SPECIES
Pr 140.91 Pr.upf
P 30.97 P.upf
Ge 72.64 Ge.upf
CELL_PARAMETERS angstrom
5.986 0.000 0.000
0.000 5.986 0.000
0.000 0.000 5.986
ATOMIC_POSITIONS crystal
Pr 0.500 0.000 0.000
Pr 0.000 0.500 0.000
Pr 0.000 0.000 0.500
Pr 0.500 0.500 0.500
P 0.000 0.500 0.500
P 0.500 0.000 0.500
P 0.500 0.500 0.000
Ge 0.000 0.000 0.000
```

Computed properties:
ΔH_f (0 K) in eV per atom: -1.276

***

Record 6
DFT (PBE-GGA) results for a relaxed structure of Pr6GeP4. Values from VASP.

```
&SYSTEM
  ibrav = 0, nat = 22, ntyp = 3
/
ATOMIC_SPECIES
Pr 140.91 Pr.upf
Ge 72.64 Ge.upf
P 30.97 P.upf
CELL_PARAMETERS angstrom
-1.050 0.643 -4.027
4.426 -5.710 0.136
-16.586 -12.803 2.279
ATOMIC_POSITIONS crystal
Pr 0.500 0.000 0.000
Pr 0.500 0.000 0.500
Pr 0.045 0.090 0.338
Pr 0.955 0.910 0.662
Pr 0.955 0.910 0.838
Pr 0.045 0.090 0.162
Pr 0.774 0.548 0.418
Pr 0.226 0.452 0.582
Pr 0.226 0.452 0.918
Pr 0.774 0.548 0.082
Pr 0.316 0.632 0.250
Pr 0.684 0.368 0.750
Ge 0.662 0.323 0.250
Ge 0.338 0.677 0.750
P 0.863 0.725 0.543
P 0.410 0.819 0.128
P 0.137 0.275 0.457
P 0.590 0.181 0.872
P 0.863 0.725 0.957
P 0.137 0.275 0.043
P 0.590 0.181 0.628
P 0.410 0.819 0.372
```

Computed properties:
ΔH_f (0 K) in eV per atom: -1.292

***

Record 7
DFT (PBE-GGA) results for a relaxed structure of Pr8GeP5. Values from VASP.

```
&SYSTEM
  ibrav = 0, nat = 14, ntyp = 3
/
ATOMIC_SPECIES
Pr 140.91 Pr.upf
Ge 72.64 Ge.upf
P 30.97 P.upf
CELL_PARAMETERS angstrom
7.326 0.000 -2.557
-3.637 6.342 -2.601
-0.052 0.000 7.760
ATOMIC_POSITIONS crystal
Pr 0.126 0.759 0.010
Pr 0.990 0.116 0.750
Pr 0.752 0.248 0.373
Pr 0.627 0.379 0.875
Pr 0.496 0.621 0.248
Pr 0.633 0.884 0.874
Pr 0.250 0.241 0.367
Pr 0.125 0.752 0.504
Ge 0.250 0.500 0.750
P 0.003 0.379 0.129
P 0.871 0.874 0.251
P 0.749 0.621 0.624
P 0.500 0.000 0.500
P 0.376 0.126 0.997
```

Computed properties:
ΔH_f (0 K) in eV per atom: -1.193

***

Record 8
DFT (PBE-GGA) results for a relaxed structure of Pr6GeP5. Values from VASP.

```
&SYSTEM
  ibrav = 0, nat = 12, ntyp = 3
/
ATOMIC_SPECIES
Pr 140.91 Pr.upf
P 30.97 P.upf
Ge 72.64 Ge.upf
CELL_PARAMETERS angstrom
-2.398 0.536 -6.867
-5.530 -4.686 -1.038
-6.889 2.128 1.270
ATOMIC_POSITIONS crystal
Pr 0.748 0.084 0.341
Pr 0.252 0.575 0.341
Pr 0.254 0.256 0.000
Pr 0.746 0.744 0.000
Pr 0.748 0.425 0.659
Pr 0.252 0.916 0.659
P 0.500 0.166 0.667
P 0.000 0.334 0.333
P 0.500 0.500 0.000
P 0.000 0.666 0.667
P 0.500 0.834 0.333
Ge 0.000 0.000 0.000
```

Computed properties:
ΔH_f (0 K) in eV per atom: -1.356

***

Record 9
DFT (PBE-GGA) results for a relaxed structure of Pr2GeP3Pt4. Values from VASP.

```
&SYSTEM
  ibrav = 0, nat = 10, ntyp = 4
/
ATOMIC_SPECIES
Pr 140.91 Pr.upf
Ge 72.64 Ge.upf
P 30.97 P.upf
Pt 195.08 Pt.upf
CELL_PARAMETERS angstrom
-3.395 -2.164 1.531
1.780 -0.018 3.922
-4.511 8.552 2.086
ATOMIC_POSITIONS crystal
Pr 0.500 0.000 0.248
Pr 0.000 0.500 0.752
Ge 0.500 0.500 0.500
P 0.000 0.000 0.500
P 0.500 0.000 0.868
P 0.000 0.500 0.132
Pt 0.500 0.500 0.000
Pt 0.000 0.000 0.000
Pt 0.500 0.000 0.628
Pt 0.000 0.500 0.372
```

Computed properties:
ΔH_f (0 K) in eV per atom: -0.958

***

Record 10
DFT (PBE-GGA) results for a relaxed structure of Pr2GePPt6. Values from VASP.

```
&SYSTEM
  ibrav = 0, nat = 20, ntyp = 4
/
ATOMIC_SPECIES
Pr 140.91 Pr.upf
Ge 72.64 Ge.upf
P 30.97 P.upf
Pt 195.08 Pt.upf
CELL_PARAMETERS angstrom
-2.267 -1.601 -4.865
-5.386 -4.959 4.142
-5.539 6.410 0.472
ATOMIC_POSITIONS crystal
Pr 0.500 0.731 0.255
Pr 0.000 0.269 0.755
Pr 0.500 0.731 0.745
Pr 0.000 0.269 0.245
Ge 0.000 0.724 0.500
Ge 0.500 0.276 0.000
P 0.500 0.254 0.500
P 0.000 0.746 0.000
Pt 0.500 0.121 0.255
Pt 0.500 0.121 0.745
Pt 0.000 0.879 0.245
Pt 0.000 0.879 0.755
Pt 0.249 0.992 0.500
Pt 0.751 0.992 0.500
Pt 0.253 0.481 0.500
Pt 0.747 0.481 0.500
Pt 0.753 0.519 0.000
Pt 0.247 0.519 0.000
Pt 0.251 0.008 0.000
Pt 0.749 0.008 0.000
```

Computed properties:
ΔH_f (0 K) in eV per atom: -0.910

***

Record 11
DFT (PBE-GGA) results for a relaxed structure of Pr2Ge3PPt4. Values from VASP.

```
&SYSTEM
  ibrav = 0, nat = 10, ntyp = 4
/
ATOMIC_SPECIES
Pr 140.91 Pr.upf
Ge 72.64 Ge.upf
P 30.97 P.upf
Pt 195.08 Pt.upf
CELL_PARAMETERS angstrom
-0.044 0.785 4.354
4.144 -1.517 0.316
3.439 9.059 -1.599
ATOMIC_POSITIONS crystal
Pr 0.500 0.000 0.257
Pr 0.000 0.500 0.743
Ge 0.000 0.000 0.500
Ge 0.500 0.000 0.869
Ge 0.000 0.500 0.131
P 0.500 0.500 0.500
Pt 0.500 0.500 0.000
Pt 0.000 0.000 0.000
Pt 0.500 0.000 0.614
Pt 0.000 0.500 0.386
```

Computed properties:
ΔH_f (0 K) in eV per atom: -0.937

***

Record 12
DFT (PBE-GGA) results for a relaxed structure of PrGe2P2Pt7. Values from VASP.

```
&SYSTEM
  ibrav = 0, nat = 12, ntyp = 4
/
ATOMIC_SPECIES
Pr 140.91 Pr.upf
Ge 72.64 Ge.upf
P 30.97 P.upf
Pt 195.08 Pt.upf
CELL_PARAMETERS angstrom
3.944 0.021 -0.013
0.026 3.944 -0.013
1.968 1.965 15.003
ATOMIC_POSITIONS crystal
Pr 0.000 0.000 0.000
Ge 0.753 0.753 0.432
Ge 0.247 0.247 0.568
P 0.617 0.617 0.756
P 0.383 0.383 0.244
Pt 0.500 0.500 0.000
Pt 0.321 0.321 0.398
Pt 0.679 0.679 0.602
Pt 0.925 0.425 0.157
Pt 0.425 0.925 0.157
Pt 0.575 0.075 0.843
Pt 0.075 0.575 0.843
```

Computed properties:
ΔH_f (0 K) in eV per atom: -0.498